Record 1
Material: La3Pr3Al2Ga
Method: DFT, PBE-GGA
State: optimized geometry

Geometry as POSCAR:
```
La3Pr3Al2Ga
1.0
-3.4845 1.6283 -0.0064
-3.3324 -7.1137 4.4526
3.2885 7.0550 4.5768
Pr Al Ga La
3 2 1 3
direct
0.0000 0.0000 0.3950
0.0000 0.6050 0.6050
0.0000 0.3950 0.0000
0.5000 0.6667 0.3333
0.5000 0.3333 0.6667
0.0000 0.0000 0.0000
0.5000 0.2741 0.2741
0.5000 0.7259 0.0000
0.5000 0.0000 0.7259
```

Output
- electronic total energy (Ry per atom) = -0.343
- ρ (Mg/m³) = 5.89
- space group = P-62m, No. 189
- ΔE_f (meV per atom) = -262


Record 2
Material: La4CoSe3
Method: DFT, PBE-GGA
State: optimized geometry

Geometry as POSCAR:
```
La4CoSe3
1.0
7.2705 0.0423 0.0000
-2.5100 7.1312 0.0000
0.0000 0.0000 8.6336
Se La Co
6 8 2
direct
0.7500 0.5000 0.6182
0.2500 0.5000 0.8748
0.7500 0.0000 0.3791
0.7500 0.5000 0.1252
0.2500 0.5000 0.3818
0.2500 0.0000 0.6209
0.5138 0.7606 0.6418
0.9902 0.7752 0.8840
0.9862 0.2394 0.6418
0.4862 0.2394 0.3582
0.0138 0.7606 0.3582
0.5098 0.2248 0.8840
0.4902 0.7752 0.1160
0.0098 0.2248 0.1160
0.2500 0.0000 0.1269
0.7500 0.0000 0.8731
```

Output
- electronic total energy (Ry per atom) = -0.451
- energy relative to the elements, uncorrected (meV per atom) = -1474
- ρ (Mg/m³) = 6.30
- space group = P2/c, No. 13


Record 3
Material: Ca2ErScTe4
Method: DFT, PBE-GGA
State: optimized geometry

Geometry as POSCAR:
```
Ca2ErScTe4
1.0
-1.3298 -2.4084 3.3556
2.2973 -6.2036 -3.5420
5.7568 2.7451 4.2515
Te Ca Sc Er
4 2 1 1
direct
0.0000 0.7516 0.2391
0.5000 0.2400 0.2353
0.5000 0.7600 0.7647
0.0000 0.2484 0.7609
0.0000 0.5000 0.5000
0.5000 0.0000 0.5000
0.0000 0.0000 0.0000
0.5000 0.5000 0.0000
```

Output
- electronic total energy (Ry per atom) = -0.354
- energy relative to the elements, uncorrected (meV per atom) = -1385
- ρ (Mg/m³) = 5.65
- space group = P2/m, No. 10


Look up the electronic total energy of the third one.
-0.354 Ry per atom